# TaP2AuS (PBE, relaxed)
data_TaP2AuS
_cell_length_a 4.6667
_cell_length_b 4.6667
_cell_length_c 4.7267
_cell_angle_alpha 90.00
_cell_angle_beta 90.00
_cell_angle_gamma 90.00
_symmetry_space_group_name_H-M 'P 4/m m m'
_symmetry_Int_Tables_number 123
_symmetry_space_group_name_Hall '-P 4 2'
loop_
_atom_site_label
_atom_site_fract_x
_atom_site_fract_y
_atom_site_fract_z
Ta1 0.0000 0.0000 0.0000
P1 0.0000 0.5000 0.5000
Au1 0.5000 0.5000 0.5000
S1 0.5000 0.5000 0.0000
# V = 20.59 A^3/atom
# DOS(E_F) = 5.34 states/eV per cell
# Magnetic moment = 0.00 μB/atom
# ΔE_f (raw) = 1.3373 eV/atom
# ΔE to the lowest computed polymorph = 0.912 eV/atom


# Tb6Er2S3 (PBE, relaxed)
data_Tb6Er2S3
_cell_length_a 3.7489
_cell_length_b 3.7489
_cell_length_c 73.3259
_cell_angle_alpha 90.00
_cell_angle_beta 90.00
_cell_angle_gamma 120.00
_symmetry_space_group_name_H-M 'R -3 m'
_symmetry_Int_Tables_number 166
_symmetry_space_group_name_Hall '-R 3 2"'
loop_
_atom_site_label
_atom_site_fract_x
_atom_site_fract_y
_atom_site_fract_z
Tb1 0.0000 0.0000 0.0694
Tb2 0.0000 0.0000 0.1858
Tb3 0.0000 0.0000 0.3570
Er1 0.0000 0.0000 0.4422
S1 0.0000 0.0000 0.0000
S2 0.0000 0.0000 0.2871
# V = 27.04 A^3/atom
# DOS(E_F) = 29.25 states/eV per cell
# Magnetic moment = 0.00 μB/atom
# ΔE_f (raw) = -1.0392 eV/atom


# ZrP3Br (PBE, relaxed)
data_ZrP3Br
_cell_length_a 4.6921
_cell_length_b 4.6921
_cell_length_c 4.6921
_cell_angle_alpha 90.00
_cell_angle_beta 90.00
_cell_angle_gamma 90.00
_symmetry_space_group_name_H-M 'P m -3 m'
_symmetry_Int_Tables_number 221
_symmetry_space_group_name_Hall '-P 4 2 3'
loop_
_atom_site_label
_atom_site_fract_x
_atom_site_fract_y
_atom_site_fract_z
Zr1 0.0000 0.0000 0.0000
P1 0.0000 0.5000 0.5000
Br1 0.5000 0.5000 0.5000
# V = 20.66 A^3/atom
# DOS(E_F) = 2.18 states/eV per cell
# Magnetic moment = 0.00 μB/atom
# ΔE_f (raw) = 1.0168 eV/atom
# ΔE to the lowest computed polymorph = 0.561 eV/atom


# TlFeCo2Sb (PBE, relaxed)
data_TlFeCo2Sb
_cell_length_a 4.6224
_cell_length_b 4.6224
_cell_length_c 4.7089
_cell_angle_alpha 90.00
_cell_angle_beta 90.00
_cell_angle_gamma 90.00
_symmetry_space_group_name_H-M 'P 4/m m m'
_symmetry_Int_Tables_number 123
_symmetry_space_group_name_Hall '-P 4 2'
loop_
_atom_site_label
_atom_site_fract_x
_atom_site_fract_y
_atom_site_fract_z
Tl1 0.0000 0.0000 0.0000
Fe1 0.5000 0.5000 0.5000
Co1 0.0000 0.5000 0.5000
Sb1 0.5000 0.5000 0.0000
# V = 20.12 A^3/atom
# DOS(E_F) = 7.34 states/eV per cell
# Magnetic moment = 1.21 μB/atom
# ΔE_f (raw) = 0.8242 eV/atom


# Pm5Nd2SmTm (PBE, relaxed)
data_Pm5Nd2SmTm
_cell_length_a 8.7455
_cell_length_b 8.7455
_cell_length_c 16.2176
_cell_angle_alpha 90.00
_cell_angle_beta 90.00
_cell_angle_gamma 90.00
_symmetry_space_group_name_H-M 'I 4/m c m'
_symmetry_Int_Tables_number 140
_symmetry_space_group_name_Hall '-I 4 2c'
loop_
_atom_site_label
_atom_site_fract_x
_atom_site_fract_y
_atom_site_fract_z
Pm1 0.0000 0.0000 0.0000
Pm2 0.2135 0.2865 0.1410
Nd1 0.1191 0.3809 0.5000
Sm1 0.0000 0.0000 0.2500
Tm1 0.0000 0.5000 0.2500
# V = 34.45 A^3/atom
# DOS(E_F) = 55.02 states/eV per cell
# Magnetic moment = 0.00 μB/atom
# ΔE_f = 275 meV/atom


# PaAlZn17 (PBE, relaxed)
data_PaAlZn17
_cell_length_a 8.9443
_cell_length_b 8.9443
_cell_length_c 13.3379
_cell_angle_alpha 90.00
_cell_angle_beta 90.00
_cell_angle_gamma 120.00
_symmetry_space_group_name_H-M 'R 3 m'
_symmetry_Int_Tables_number 160
_symmetry_space_group_name_Hall 'R 3 -2"'
loop_
_atom_site_label
_atom_site_fract_x
_atom_site_fract_y
_atom_site_fract_z
Pa1 0.0000 0.0000 0.0000
Al1 0.0000 0.0000 0.2460
Zn1 0.0000 0.0000 0.5651
Zn2 0.0000 0.0000 0.7619
Zn3 0.0011 0.5005 0.8189
Zn4 0.0214 0.3351 0.3314
Zn5 0.1678 0.3356 0.8321
Zn6 0.1712 0.3425 0.5082
# V = 16.21 A^3/atom
# DOS(E_F) = 27.14 states/eV per cell
# Magnetic moment = 0.04 μB/atom
# ΔE_f = -25 meV/atom


# Rb2PaAu2O6 (PBE, relaxed)
data_Rb2PaAu2O6
_cell_length_a 11.9889
_cell_length_b 5.8228
_cell_length_c 7.9659
_cell_angle_alpha 90.00
_cell_angle_beta 127.80
_cell_angle_gamma 90.00
_symmetry_space_group_name_H-M 'C 1 2/m 1'
_symmetry_Int_Tables_number 12
loop_
_symmetry_equiv_pos_as_xyz
'x,y,z'
'-x,-y,-z'
'-x,y,-z'
'x,-y,z'
'x+1/2,y+1/2,z'
'-x+1/2,-y+1/2,-z'
'-x+1/2,y+1/2,-z'
'x+1/2,-y+1/2,z'
loop_
_atom_site_label
_atom_site_fract_x
_atom_site_fract_y
_atom_site_fract_z
Rb1 0.2199 0.0000 0.1212
Pa1 0.0000 0.0000 0.5000
Au1 0.1078 0.5000 0.2841
O1 0.0120 0.2602 0.6982
O2 0.2362 0.0000 0.7351
# V = 19.97 A^3/atom
# DOS(E_F) = 10.10 states/eV per cell
# Magnetic moment = 0.00 μB/atom
# ΔE_f (raw) = -1.4797 eV/atom


# BeCdNi2 (PBE, relaxed)
data_BeCdNi2
_cell_length_a 3.7206
_cell_length_b 3.7206
_cell_length_c 7.2142
_cell_angle_alpha 90.00
_cell_angle_beta 90.00
_cell_angle_gamma 90.00
_symmetry_space_group_name_H-M 'I -4 m 2'
_symmetry_Int_Tables_number 119
_symmetry_space_group_name_Hall 'I -4 -2'
loop_
_atom_site_label
_atom_site_fract_x
_atom_site_fract_y
_atom_site_fract_z
Be1 0.0000 0.0000 0.0000
Cd1 0.0000 0.5000 0.7500
Ni1 0.0000 0.0000 0.5000
Ni2 0.0000 0.5000 0.2500
# V = 12.48 A^3/atom
# DOS(E_F) = 5.05 states/eV per cell
# Magnetic moment = 0.00 μB/atom
# ΔE_f = 108 meV/atom


Q: What is the formula in the fifth record?
A: Pm5Nd2SmTm